Here is LuPb after structural relaxation from OQMD. Energies are from PBE.

Cell lengths 6.192, 6.192, 6.192 Å; angles 90.00, 90.00, 90.00 degrees
Positions (direct):
Lu 0.000 0.000 0.000
Lu 0.000 0.500 0.500
Lu 0.500 0.000 0.500
Lu 0.500 0.500 0.000
Pb 0.000 0.000 0.500
Pb 0.000 0.500 0.000
Pb 0.500 0.000 0.000
Pb 0.500 0.500 0.500

Values from the calculation:
Total DFT energy (no corrections) = -4.322 eV per atom

Here is Lu2Pb after structural relaxation from OQMD. Energies are from PBE.

Cell lengths 6.274, 6.274, 6.274 Å; angles 60.00, 60.00, 60.00 degrees
Positions (direct):
Lu 0.000 0.000 0.000
Lu 0.000 0.000 0.500
Lu 0.000 0.500 0.000
Lu 0.500 0.000 0.000
Pb 0.375 0.375 0.375
Pb 0.625 0.625 0.625

Values from the calculation:
Total DFT energy (no corrections) = -4.153 eV per atom

Here is Lu2Pb after structural relaxation from OQMD. Energies are from PBE.

Cell lengths 9.464, 9.464, 9.464 Å; angles 60.00, 60.00, 60.00 degrees
Positions (direct):
Lu 0.000 0.000 0.000
Lu 0.000 0.000 0.500
Lu 0.000 0.500 0.000
Lu 0.500 0.000 0.000
Pb 0.125 0.125 0.125
Pb 0.875 0.875 0.875

Values from the calculation:
Total DFT energy (no corrections) = -2.866 eV per atom

Here is LuPb after structural relaxation from OQMD. Energies are from PBE.

Cell lengths 6.929, 6.929, 6.929 Å; angles 90.00, 90.00, 90.00 degrees
Positions (direct):
Lu 0.000 0.000 0.000
Lu 0.000 0.500 0.500
Lu 0.500 0.000 0.500
Lu 0.500 0.500 0.000
Pb 0.250 0.250 0.750
Pb 0.250 0.750 0.250
Pb 0.750 0.250 0.250
Pb 0.750 0.750 0.750

Values from the calculation:
Total DFT energy (no corrections) = -3.626 eV per atom

Here is LuPb after structural relaxation from OQMD. Energies are from PBE.

Cell lengths 3.546, 3.546, 5.102 Å; angles 90.00, 90.00, 120.00 degrees
Positions (direct):
Lu 0.000 0.000 0.000
Pb 0.667 0.333 0.500

Values from the calculation:
Total DFT energy (no corrections) = -4.370 eV per atom

Here is LuPd2Pb after structural relaxation from OQMD. Energies are from PBE.

Cell lengths 6.821, 6.821, 6.821 Å; angles 90.00, 90.00, 90.00 degrees
Positions (direct):
Lu 0.000 0.000 0.000
Lu 0.000 0.500 0.500
Lu 0.500 0.000 0.500
Lu 0.500 0.500 0.000
Pd 0.000 0.000 0.500
Pd 0.000 0.500 0.000
Pd 0.250 0.250 0.250
Pd 0.250 0.750 0.750
Pd 0.500 0.000 0.000
Pd 0.500 0.500 0.500
Pd 0.750 0.250 0.750
Pd 0.750 0.750 0.250
Pb 0.250 0.250 0.750
Pb 0.250 0.750 0.250
Pb 0.750 0.250 0.250
Pb 0.750 0.750 0.750

Values from the calculation:
Total DFT energy (no corrections) = -5.138 eV per atom

Here is LuPdPb2 after structural relaxation from OQMD. Energies are from PBE.

Cell lengths 7.316, 7.316, 7.316 Å; angles 90.00, 90.00, 90.00 degrees
Positions (direct):
Lu 0.000 0.000 0.000
Lu 0.000 0.500 0.500
Lu 0.500 0.000 0.500
Lu 0.500 0.500 0.000
Pd 0.250 0.250 0.750
Pd 0.250 0.750 0.250
Pd 0.750 0.250 0.250
Pd 0.750 0.750 0.750
Pb 0.000 0.000 0.500
Pb 0.000 0.500 0.000
Pb 0.250 0.250 0.250
Pb 0.250 0.750 0.750
Pb 0.500 0.000 0.000
Pb 0.500 0.500 0.500
Pb 0.750 0.250 0.750
Pb 0.750 0.750 0.250

Values from the calculation:
Total DFT energy (no corrections) = -4.504 eV per atom

Here is LuPdPbS3 after structural relaxation from OQMD. Energies are from PBE.

Cell lengths 6.899, 6.899, 10.252 Å; angles 90.00, 90.00, 148.05 degrees
Positions (direct):
Lu 0.000 0.000 0.000
Lu 0.000 0.000 0.500
Pd 0.466 0.534 0.750
Pd 0.534 0.466 0.250
Pb 0.231 0.769 0.250
Pb 0.769 0.231 0.750
S 0.078 0.922 0.750
S 0.360 0.640 0.550
S 0.360 0.640 0.950
S 0.640 0.360 0.050
S 0.640 0.360 0.450
S 0.922 0.078 0.250

Values from the calculation:
Total DFT energy (no corrections) = -5.302 eV per atom

> Among the records above, which one has the highest total DFT energy (no corrections)?

number 3